(1)
## Ga2CuMo2 (PBE)

Data for a relaxed Ga2CuMo2 crystal.

Lattice parameters (Å, degrees): 6.426 6.426 3.640 90.00 90.00 90.00
Positions (direct):
1 Ga 0.135 0.365 0.000
2 Ga 0.365 0.865 0.000
3 Ga 0.635 0.135 0.000
4 Ga 0.865 0.635 0.000
5 Cu 0.000 0.000 0.000
6 Cu 0.500 0.500 0.000
7 Mo 0.170 0.670 0.500
8 Mo 0.330 0.170 0.500
9 Mo 0.670 0.830 0.500
10 Mo 0.830 0.330 0.500

Calculated values
**Space-group type**: P4/mbm, No. 127

***

(2)
## Ga2CuMo2 (PBE)

Data for a relaxed Ga2CuMo2 crystal.

Lattice parameters (Å, degrees): 3.565 3.565 12.833 90.00 90.00 90.00
Positions (direct):
1 Ga 0.000 0.500 0.250
2 Ga 0.000 0.500 0.750
3 Ga 0.500 0.000 0.250
4 Ga 0.500 0.000 0.750
5 Cu 0.000 0.000 0.000
6 Cu 0.500 0.500 0.500
7 Mo 0.000 0.000 0.408
8 Mo 0.000 0.000 0.592
9 Mo 0.500 0.500 0.092
10 Mo 0.500 0.500 0.908

Calculated values
**Space-group type**: I4/mmm, No. 139

***

(3)
## Ga2CuMo2 (PBE)

Data for a relaxed Ga2CuMo2 crystal.

Lattice parameters (Å, degrees): 6.920 6.920 3.404 90.00 90.00 90.00
Positions (direct):
1 Ga 0.176 0.324 0.000
2 Ga 0.324 0.824 0.000
3 Ga 0.676 0.176 0.000
4 Ga 0.824 0.676 0.000
5 Cu 0.000 0.000 0.500
6 Cu 0.500 0.500 0.500
7 Mo 0.123 0.623 0.500
8 Mo 0.377 0.123 0.500
9 Mo 0.623 0.877 0.500
10 Mo 0.877 0.377 0.500

Calculated values
**Space-group type**: P4/mbm, No. 127

***

Looking at the structures above, (1) is most stable, and the difference to the next one is 5.4 kJ/mol of atoms.